Entry 1:
Below is a relaxed structure of LiCrAg2, with properties calculated at the PBE level.

Lattice parameters (Å, degrees): 3.1351 4.6324 4.6324 90.00 90.00 90.00
With the nearest neighbours (Å) after each atom.
Positions (direct):
Ag  0.0000  0.0000  0.0000  4 Li 2.80, 4 Cr 2.80
Ag  0.0000  0.5000  0.5000  4 Cr 2.80, 4 Li 2.80
Cr  0.5000  0.5000  0.0000  8 Ag 2.80
Li  0.5000  0.0000  0.5000  8 Ag 2.80

- D(E_F) (states/eV per cell) = 1.30
- calculated total energy (eV/atom) = -4.155
- symmetry = P4/mmm (123)
- distance to the lowest polymorph of the same formula (eV/atom) = 0.000



Entry 2:
Below is a relaxed structure of CaAgHg, with properties calculated at the PBE level.

Lattice parameters (Å, degrees): 4.8865 4.8865 3.6343 90.00 90.00 120.00
With the nearest neighbours (Å) after each atom.
Positions (direct):
Ca  0.0000  0.0000  0.5000  6 Hg 3.36, 6 Ag 3.36, 2 Ca 3.63
Hg  0.3333  0.6667  0.0000  3 Ag 2.82
Ag  0.6667  0.3333  0.0000  3 Hg 2.82

- D(E_F) (states/eV per cell) = 1.74
- calculated total energy (eV/atom) = -2.091
- symmetry = P-6m2 (187)